Entry 1:
ThSiGe: optimized geometry, PBE.

Summary:
The energy relative to the elements, uncorrected is -275 meV/atom. As for the symmetry: No. 107. The total energy is -6.095 eV per atom. The crystal system is tetragonal.

Lattice parameters (Å, degrees): 4.205 4.205 5.077 114.46 114.46 90.00
Atoms (fractional coordinates):
1 Si 0.976 0.976 0.953
2 Ge 0.258 0.258 0.516
3 Th 0.615 0.615 0.231



Entry 2:
Hf6NbTc5: optimized geometry, PBE.

Summary:
As for the symmetry: No. 65. The total energy is -10.507 eV per atom. The crystal system is orthorhombic. The formation energy comes out at -372 meV per atom.

Lattice parameters (Å, degrees): 4.643 6.607 7.335 90.00 108.45 90.00
Atoms (fractional coordinates):
1 Tc 0.333 0.500 0.665
2 Tc 0.338 0.000 0.677
3 Tc 0.667 0.500 0.335
4 Tc 0.662 0.000 0.323
5 Tc 0.000 0.500 0.000
6 Hf 0.171 0.255 0.341
7 Hf 0.500 0.260 0.000
8 Hf 0.500 0.740 0.000
9 Hf 0.829 0.255 0.659
10 Hf 0.171 0.745 0.341
11 Hf 0.829 0.745 0.659
12 Nb 0.000 0.000 0.000



Entry 3:
Na2NbH: optimized geometry, PBE.

Summary:
As for the symmetry: No. 122. The total energy is -2.922 eV per atom. The crystal system is tetragonal.

Lattice parameters (Å, degrees): 6.538 6.538 6.372 59.13 59.13 90.00
Atoms (fractional coordinates):
1 Nb 0.000 0.000 0.000
2 Nb 0.750 0.250 0.500
3 H 0.250 0.750 0.500
4 H 0.500 0.500 0.000
5 Na 0.875 0.701 0.750
6 Na 0.375 0.549 0.750
7 Na 0.299 0.625 0.250
8 Na 0.451 0.125 0.250